VASP calculation (PBE with a Hubbard U) on crystalline LiFeF4 at its relaxed geometry.

```
LiFeF4
1.0
-2.4665 2.4665 5.5323
2.4665 -2.4665 5.5323
2.4665 2.4665 -5.5323
Li Fe F
2 2 8
Direct
0.3750 0.1250 0.2500
0.6250 0.8750 0.7500
0.1250 0.3750 0.7500
0.8750 0.6250 0.2500
0.0652 0.7832 0.7418
0.1766 0.4348 0.2180
0.2832 0.0414 0.7180
0.4586 0.6766 0.2418
0.5414 0.3234 0.7582
0.7168 0.9586 0.2820
0.8234 0.5652 0.7820
0.9348 0.2168 0.2582
```

Computed properties:
The value obtained for the density of states at the Fermi level is 0.00 states/eV/f.u. The value obtained for the excess energy over the best structure of this formula in the dataset is 89.9 meV per atom. As for the volume: 135 Å³/cell.